Material: NiRhI2
Method: DFT, PBE-GGA
State: relaxed

Geometry as POSCAR:
```
NiRhI2
1.0
0.0000 3.4326 3.4326
3.4326 0.0000 3.4326
3.4326 3.4326 0.0000
I Ni Rh
2 1 1
direct
0.2500 0.2500 0.2500
0.7500 0.7500 0.7500
0.0000 0.0000 0.0000
0.5000 0.5000 0.5000
```

Summary:
Raw formation energy in kJ/mol of formula units: 278
Total magnetic moment in μB per formula unit: 0.000
Theoretical density in g cm⁻³: 8.527